No. 1
A geometry-optimized Sr3P2Rh3 structure. Source: the Alexandria database, functional PBE.

The structure in POSCAR format:
```
Sr3P2Rh3
1.0
7.8551 0.0000 0.0000
0.0000 14.8102 0.0000
0.0000 0.0000 5.9077
Sr P Rh
12 8 12
Cartesian
0.1641 1.6178 0.7597
0.1641 5.7873 0.7597
1.3311 3.7025 3.4920
2.5965 11.1076 0.5381
3.7635 9.0229 3.7135
3.7635 13.1924 3.7135
4.0917 1.6178 2.1942
4.0917 5.7873 2.1942
5.2586 3.7025 5.3696
6.5240 11.1076 2.4157
7.6910 9.0229 5.1480
7.6910 13.1924 5.1480
1.0917 8.7964 2.2155
1.0917 13.4189 2.2155
2.8358 1.3913 5.1693
2.8358 6.0138 5.1693
5.0193 8.7964 0.7384
5.0193 13.4189 0.7384
6.7634 1.3913 3.6922
6.7634 6.0138 3.6922
1.1497 0.5576 3.6217
1.1497 6.8475 3.6217
1.3917 11.1076 3.0931
2.5359 3.7025 0.1392
2.7778 7.9626 0.6678
2.7778 14.2526 0.6678
5.0773 0.5576 5.2399
5.0773 6.8475 5.2399
5.3192 11.1076 5.7685
6.4635 3.7025 2.8146
6.7054 7.9626 2.2860
6.7054 14.2526 2.2860
```

* size of the total moment: 0.00 μB/cell
* E_tot: -5.53 eV per atom
* SG: Pnma, No. 62
* formation energy: -0.7918 eV/atom

---

No. 2
A geometry-optimized SrTcBr2 structure. Source: the Alexandria database, functional PBE.

The structure in POSCAR format:
```
SrTcBr2
1.0
-2.1269 2.1269 6.1181
2.1269 -2.1269 6.1181
2.1269 2.1269 -6.1181
Sr Tc Br
1 1 2
Cartesian
0.0000 0.0000 0.0000
2.1269 0.0000 3.0590
0.0000 0.0000 6.1181
0.0000 2.1269 3.0590
```

* size of the total moment: 3.53 μB/cell
* polymorph energy (0 for the lowest one): 286 meV per atom
* E_tot: -3.91 eV per atom
* formation energy from raw total energies: -0.26 eV per formula unit
* SG: I-4m2, No. 119

---

No. 3
A geometry-optimized ThTl3 structure. Source: the Alexandria database, functional PBE.

The structure in POSCAR format:
```
ThTl3
1.0
-2.3420 2.3420 5.2091
2.3420 -2.3420 5.2091
2.3420 2.3420 -5.2091
Th Tl
1 3
Cartesian
0.0000 0.0000 0.0000
2.3420 0.0000 2.6045
0.0000 0.0000 5.2091
0.0000 2.3420 2.6045
```

* size of the total moment: 0.00 μB/cell
* E_tot: -3.69 eV per atom
* SG: I4/mmm, No. 139
* formation energy: -0.0566 eV/atom

---

No. 4
A geometry-optimized NdErBeAl structure. Source: the Alexandria database, functional PBE.

The structure in POSCAR format:
```
NdErBeAl
1.0
0.0000 3.5712 3.5712
3.5712 0.0000 3.5712
3.5712 3.5712 0.0000
Nd Er Be Al
1 1 1 1
Cartesian
0.0000 0.0000 0.0000
3.5712 3.5712 3.5712
1.7856 1.7856 1.7856
5.3569 5.3569 5.3569
```

* size of the total moment: 0.00 μB/cell
* E_tot: -4.28 eV per atom
* SG: F-43m, No. 216
* formation energy: -0.0849 eV/atom

---

No. 5
A geometry-optimized Ca2LaCu2 structure. Source: the Alexandria database, functional PBE.

The structure in POSCAR format:
```
Ca2LaCu2
1.0
8.6418 0.0000 0.0000
0.0000 8.6418 0.0000
0.0000 0.0000 3.3505
Ca La Cu
4 2 4
Cartesian
1.1365 3.1844 0.0000
3.1844 7.5053 0.0000
5.4574 1.1365 0.0000
7.5053 5.4574 0.0000
0.0000 0.0000 0.0000
4.3209 4.3209 0.0000
1.4435 5.7644 1.6753
2.8774 1.4435 1.6753
5.7644 7.1983 1.6753
7.1983 2.8774 1.6753
```

* size of the total moment: 0.57 μB/cell
* polymorph energy (0 for the lowest one): 177 meV per atom
* E_tot: -3.33 eV per atom
* SG: P4/mbm, No. 127
* formation energy: 0.0977 eV/atom

---

No. 6
A geometry-optimized In5Hg6Pb structure. Source: the Alexandria database, functional PBE.

The structure in POSCAR format:
```
In5Hg6Pb
1.0
2.8831 -8.0446 0.0000
2.8831 8.0446 0.0000
-1.0802 0.0000 6.9868
In Hg Pb
5 6 1
Cartesian
0.0000 0.0000 0.0000
2.8831 2.6640 0.0000
2.3430 2.6340 3.4934
2.3430 -2.6340 3.4934
2.8831 -2.6640 0.0000
2.6133 5.2974 1.7307
2.0727 5.2974 5.2561
2.5651 0.0000 1.7141
2.1209 0.0000 5.2726
2.6133 -5.2974 1.7307
2.0727 -5.2974 5.2561
-0.5401 0.0000 3.4934
```

* size of the total moment: 0.00 μB/cell
* polymorph energy (0 for the lowest one): 0 meV per atom
* E_tot: -1.59 eV per atom
* SG: C2/m, No. 12
* formation energy: 0.0108 eV/atom

---

No. 7
A geometry-optimized Pr2Sm5Y2 structure. Source: the Alexandria database, functional PBE.

The structure in POSCAR format:
```
Pr2Sm5Y2
1.0
6.2951 0.0000 0.0000
1.0679 6.2041 0.0000
2.0943 0.7013 7.8214
Pr Sm Y
2 5 2
Cartesian
1.0525 0.8815 2.1698
8.4048 6.0238 5.6516
3.1589 3.7147 3.0344
5.2580 5.4836 7.3859
4.1947 0.3507 3.9107
4.1993 1.4218 0.4356
6.2984 3.1906 4.7871
3.1563 2.6551 6.5221
6.3010 4.2503 1.2993
```

* size of the total moment: 0.00 μB/cell
* polymorph energy (0 for the lowest one): 0 meV per atom
* E_tot: -5.11 eV per atom
* SG: P-1, No. 2
* formation energy: 0.0122 eV/atom

---

No. 8
A geometry-optimized Na2CuF structure. Source: the Alexandria database, functional PBE.

The structure in POSCAR format:
```
Na2CuF
1.0
0.0000 3.3371 3.3371
3.3371 0.0000 3.3371
3.3371 3.3371 0.0000
Na Cu F
2 1 1
Cartesian
1.6685 1.6685 1.6685
5.0056 5.0056 5.0056
0.0000 0.0000 0.0000
3.3371 3.3371 3.3371
```

* size of the total moment: 0.00 μB/cell
* polymorph energy (0 for the lowest one): 256 meV per atom
* E_tot: -2.88 eV per atom
* formation energy from raw total energies: -2.91 eV per formula unit
* SG: Fm-3m, No. 225

---

No. 9
A geometry-optimized KIr3 structure. Source: the Alexandria database, functional PBE.

The structure in POSCAR format:
```
KIr3
1.0
1.3915 -2.3895 0.0000
1.3915 2.3895 0.0000
0.0000 0.0000 10.2675
K Ir
1 3
Cartesian
0.0000 0.0000 0.0000
0.0000 0.0000 5.1337
1.3915 0.0000 2.8571
1.3915 0.0000 7.4104
```

* size of the total moment: 0.00 μB/cell
* polymorph energy (0 for the lowest one): 200 meV per atom
* E_tot: -6.23 eV per atom
* SG: Cmmm, No. 65
* formation energy: 0.6927 eV/atom

---

No. 10
A geometry-optimized HfNiHg structure. Source: the Alexandria database, functional PBE.

The structure in POSCAR format:
```
HfNiHg
1.0
4.6586 0.0000 0.0000
2.3279 4.4537 0.0000
0.0142 1.1137 5.2204
Hf Ni Hg
2 2 2
Cartesian
0.0000 0.0000 0.0000
2.3261 1.0572 2.2734
2.3241 4.3417 2.5832
4.6752 4.3312 4.5067
2.3446 2.7647 4.6659
4.6553 2.6952 2.0351
```

* size of the total moment: 0.00 μB/cell
* polymorph energy (0 for the lowest one): 211 meV per atom
* E_tot: -5.47 eV per atom
* SG: P1, No. 1
* formation energy: -0.1219 eV/atom

---

No. 11
A geometry-optimized AgMoIr2 structure. Source: the Alexandria database, functional PBE.

The structure in POSCAR format:
```
AgMoIr2
1.0
1.4297 -2.3406 0.0000
1.4297 2.3406 0.0000
0.0000 0.0000 9.4737
Ag Mo Ir
1 1 2
Cartesian
0.0000 0.0000 0.0000
0.0000 0.0000 4.7368
1.4297 0.0000 2.5025
1.4297 0.0000 6.9711
```

* size of the total moment: 0.00 μB/cell
* polymorph energy (0 for the lowest one): 197 meV per atom
* E_tot: -7.64 eV per atom
* SG: Cmmm, No. 65
* formation energy: 0.2077 eV/atom

---

No. 12
A geometry-optimized HfThMg4 structure. Source: the Alexandria database, functional PBE.

The structure in POSCAR format:
```
HfThMg4
1.0
0.0000 4.1427 4.1427
4.1427 0.0000 4.1427
4.1427 4.1427 0.0000
Hf Th Mg
1 1 4
Cartesian
0.0000 0.0000 0.0000
2.0714 2.0714 2.0714
5.1878 3.0976 3.0976
3.0976 5.1878 3.0976
3.0976 3.0976 5.1878
5.1878 5.1878 5.1878
```

* size of the total moment: 0.00 μB/cell
* E_tot: -3.83 eV per atom
* SG: F-43m, No. 216
* formation energy: 0.1332 eV/atom